{"formula": "Cu2HgI2", "functional": "PBEsol", "state": "relaxed", "n_ef_per_ev_fu": 0.0, "space_group": "I4/mmm (139)", "raw_formation_energy_ev_per_fu": -0.2, "volume_a3_per_cell": 132, "cell": [[-1.981, 1.981, 8.424], [1.981, -1.981, 8.424], [1.981, 1.981, -8.424]], "species": ["Cu", "Cu", "Hg", "I", "I"], "fractional_positions": [[0.250, 0.750, 0.500], [0.750, 0.250, 0.500], [0.000, 0.000, 0.000], [0.352, 0.352, 0.000], [0.648, 0.648, 0.000]]}